# 1
A relaxed structure of Sm2TlAu, computed with GGA-PBE.

The calculation puts the total energy at -4.19 eV per atom. The value obtained for the formation energy is -1.67 eV/f.u. For the total magnetization, the calculation gives 0.00 μB/f.u.

The structure belongs to space group R3m (No. 160, hexagonal axes); the cell edges are 4.0354, 4.0354 and 25.7289 Å and the angles 90.00°, 90.00° and 120.00°. Symmetry generates all atoms from Sm at (0.0000, 0.0000, 0.0000), Sm at (0.0000, 0.0000, 0.1880), Tl at (0.0000, 0.0000, 0.4273) and Au at (0.0000, 0.0000, 0.5937).


# 2
A relaxed structure of MnCuP2, computed with GGA-PBE.

The calculation puts the total energy at -6.05 eV per atom. The value obtained for the formation energy is -0.12 eV/f.u. For the total magnetization, the calculation gives 2.07 μB/f.u.

The structure belongs to space group P4mm (No. 99); the cell edges are 3.308, 3.308 and 4.722 Å and the angles 90.00°, 90.00° and 90.00°. Symmetry generates all atoms from Mn at (0.000, 0.000, 0.000), Cu at (0.500, 0.500, 0.662), P at (0.000, 0.000, 0.510) and P at (0.500, 0.500, 0.156).


# 3
A relaxed structure of RbLi2Ga2Sb2, computed with GGA-PBE.

The uncorrected formation energy is -0.3738 eV per atom. The calculation puts the total energy at -3.10 eV per atom. For the total magnetization, the calculation gives 0.00 μB/f.u.

The structure belongs to space group C2/m (No. 12); the cell edges are 9.510, 4.279 and 9.781 Å and the angles 90.00°, 104.07° and 90.00°. Symmetry generates all atoms from Rb at (0.000, 0.000, 0.000), Li at (0.140, 0.000, 0.424), Ga at (0.061, 0.500, 0.634) and Sb at (0.239, 0.000, 0.727).


# 4
A relaxed structure of CdOs3, computed with GGA-PBE.

The calculation puts the total energy at -8.24 eV per atom. The value obtained for the formation energy is 1.63 eV/f.u. For the total magnetization, the calculation gives 0.00 μB/f.u. The calculation puts the energy relative to the lowest polymorph listed for this composition at 171 meV per atom.

The structure belongs to space group P4/mmm (No. 123); the cell edges are 2.780, 2.780 and 8.102 Å and the angles 90.00°, 90.00° and 90.00°. Symmetry generates all atoms from Cd at (0.000, 0.000, 0.000), Os at (0.000, 0.000, 0.500) and Os at (0.500, 0.500, 0.274).


# 5
A relaxed structure of TbCe3Th4S8, computed with GGA-PBE.

The uncorrected formation energy is -1.9425 eV per atom. The calculation puts the total energy at -7.26 eV per atom. For the total magnetization, the calculation gives 2.20 μB/f.u.

The structure belongs to space group R-3m (No. 166, hexagonal axes); the cell edges are 7.9917, 7.9917 and 19.9331 Å and the angles 90.00°, 90.00° and 120.00°. Symmetry generates all atoms from Tb at (0.0000, 0.0000, 0.0000), Ce at (0.0000, 0.5000, 0.0000), Th at (0.0000, 0.0000, 0.5000), Th at (0.0000, 0.5000, 0.5000), S at (0.0000, 0.0000, 0.2511) and S at (0.0044, 0.5022, 0.7478).


# 6
A relaxed structure of PS2IO, computed with GGA-PBE.

The uncorrected formation energy is 0.9765 eV per atom. The calculation puts the total energy at -3.06 eV per atom. For the total magnetization, the calculation gives 0.00 μB/f.u. The calculation puts the energy relative to the lowest polymorph listed for this composition at 0 meV per atom.

The structure belongs to space group P4/mmm (No. 123); the cell edges are 4.612, 4.612 and 4.120 Å and the angles 90.00°, 90.00° and 90.00°. Symmetry generates all atoms from P at (0.000, 0.000, 0.000), S at (0.000, 0.500, 0.500), I at (0.500, 0.500, 0.000) and O at (0.000, 0.000, 0.500).


# 7
A relaxed structure of RbAlSn3, computed with GGA-PBE.

The calculation puts the total energy at -3.16 eV per atom. The value obtained for the formation energy is 0.94 eV/f.u. For the total magnetization, the calculation gives 0.00 μB/f.u. The calculation puts the energy relative to the lowest polymorph listed for this composition at 289 meV per atom.

The structure belongs to space group Pm-3m (No. 221); the cell edges are 5.506, 5.506 and 5.506 Å and the angles 90.00°, 90.00° and 90.00°. Symmetry generates all atoms from Rb at (0.000, 0.000, 0.000), Al at (0.500, 0.500, 0.500) and Sn at (0.000, 0.500, 0.500).


# 8
A relaxed structure of CaPmHg5, computed with GGA-PBE.

The calculation puts the total energy at -1.49 eV per atom. The value obtained for the formation energy is -2.15 eV/f.u. For the total magnetization, the calculation gives 0.00 μB/f.u.

The structure belongs to space group P4/mmm (No. 123); the cell edges are 4.600, 4.600 and 9.237 Å and the angles 90.00°, 90.00° and 90.00°. Symmetry generates all atoms from Ca at (0.000, 0.000, 0.000), Pm at (0.500, 0.500, 0.500), Hg at (0.000, 0.000, 0.500) and Hg at (0.000, 0.500, 0.240).


# 9
A relaxed structure of Pr8Zn2Ga, computed with GGA-PBE.

The calculation puts the total energy at -4.15 eV per atom. The value obtained for the formation energy is -1.87 eV/f.u. For the total magnetization, the calculation gives 0.00 μB/f.u. The calculation puts the energy relative to the lowest polymorph listed for this composition at 0 meV per atom.

The structure belongs to space group C2/m (No. 12); the cell edges are 18.484, 5.217 and 7.404 Å and the angles 90.00°, 110.59° and 90.00°. Symmetry generates all atoms from Pr at (0.024, 0.000, 0.275), Pr at (0.090, 0.500, 0.960), Pr at (0.170, 0.500, 0.477), Pr at (0.197, 0.000, 0.811), Zn at (0.177, 0.000, 0.199) and Ga at (0.000, 0.500, 0.500).


Question: Among the records above, which one has the highest total magnetization?
Answer: TbCe3Th4S8